Record 1
{
  "formula": "Tb2CuGeS5",
  "functional": "PBE-GGA",
  "state": "relaxed",
  "sg": "Cmc2_1, No. 36",
  "crystal_system": "orthorhombic",
  "cell": [[3.861, 0.000, 0.000], [-1.931, 8.723, 0.000], [0.000, 0.000, 10.989]],
  "species": ["Tb", "Tb", "Tb", "Tb", "Cu", "Cu", "Ge", "Ge", "S", "S", "S", "S", "S", "S", "S", "S", "S", "S"],
  "fractional_positions": [[0.882, 0.764, 0.792], [0.109, 0.217, 0.672], [0.118, 0.236, 0.292], [0.891, 0.783, 0.172], [0.746, 0.493, 0.606], [0.254, 0.507, 0.106], [0.591, 0.183, 0.968], [0.409, 0.817, 0.468], [0.359, 0.719, 0.986], [0.690, 0.380, 0.811], [0.506, 0.012, 0.785], [0.312, 0.623, 0.639], [0.963, 0.926, 0.565], [0.641, 0.281, 0.486], [0.310, 0.620, 0.311], [0.494, 0.988, 0.285], [0.688, 0.377, 0.139], [0.037, 0.074, 0.065]]
}



Record 2
{
  "formula": "CuGeTeS",
  "functional": "PBE-GGA",
  "state": "relaxed",
  "sg": "Cm, No. 8",
  "crystal_system": "monoclinic",
  "cell": [[-4.425, 0.822, 0.827], [3.511, -1.251, 2.655], [2.880, 6.054, -0.385]],
  "species": ["Cu", "Ge", "Te", "S"],
  "fractional_positions": [[0.229, 0.985, 0.214], [0.192, 0.462, 0.653], [0.446, 0.639, 0.085], [0.462, 0.116, 0.578]]
}



Record 3
{
  "formula": "CuGe2TeS6",
  "functional": "PBE-GGA",
  "state": "relaxed",
  "sg": "C2/c, No. 15",
  "crystal_system": "monoclinic",
  "cell": [[-6.274, 2.080, -0.259], [-3.247, -2.281, -7.878], [-5.125, -6.620, 2.776]],
  "species": ["Cu", "Cu", "Ge", "Ge", "Ge", "Ge", "Te", "Te", "S", "S", "S", "S", "S", "S", "S", "S", "S", "S", "S", "S"],
  "fractional_positions": [[0.250, 0.965, 0.035], [0.750, 0.035, 0.965], [0.255, 0.816, 0.637], [0.245, 0.363, 0.184], [0.745, 0.184, 0.363], [0.755, 0.637, 0.816], [0.250, 0.309, 0.691], [0.750, 0.691, 0.309], [0.107, 0.012, 0.813], [0.393, 0.187, 0.988], [0.893, 0.988, 0.187], [0.607, 0.813, 0.012], [0.375, 0.906, 0.390], [0.125, 0.610, 0.094], [0.625, 0.094, 0.610], [0.875, 0.390, 0.906], [0.013, 0.696, 0.598], [0.487, 0.402, 0.304], [0.987, 0.304, 0.402], [0.513, 0.598, 0.696]]
}



Record 4
{
  "formula": "TlCu2GeS4",
  "functional": "PBE-GGA",
  "state": "relaxed",
  "sg": "I-42m, No. 121",
  "crystal_system": "tetragonal",
  "cell": [[-1.978, 5.469, 1.077], [-2.402, -1.869, 5.071], [6.392, -0.749, -0.696]],
  "species": ["Tl", "Cu", "Cu", "Ge", "S", "S", "S", "S"],
  "fractional_positions": [[0.000, 0.000, 0.000], [0.750, 0.250, 0.500], [0.250, 0.750, 0.500], [0.500, 0.500, 0.000], [0.563, 0.563, 0.708], [0.437, 0.855, 0.292], [0.855, 0.437, 0.292], [0.145, 0.145, 0.708]]
}



Number 1: formation energy from raw total energies -10.7 eV/f.u., density of states at the Fermi level 0.27 states/eV per atom. Number 2: formation energy from raw total energies -0.3 eV/f.u., density of states at the Fermi level 0.22 states/eV per atom. Number 3: formation energy from raw total energies -0.7 eV/f.u., density of states at the Fermi level 0.34 states/eV per atom. Number 4: formation energy from raw total energies -2.2 eV/f.u., density of states at the Fermi level 0.34 states/eV per atom.